# 1
Computed, not measured: an optimized crystal structure of BeAs at the GGA-PBE level of DFT.

## Properties
For the calculated volume, the calculation gives 28.2 Å³/f.u. The calculation puts the formation energy at 0.212 eV/atom. The space group is Pmmn (59).

```
BeAs
1.0
-1.832 2.723 -0.283
-3.991 -2.586 0.950
0.410 0.634 3.451
As Be
2 2
direct
0.500 0.500 0.714
0.000 0.000 0.120
0.000 0.500 0.212
0.500 0.000 0.621
```


# 2
Computed, not measured: an optimized crystal structure of BeAs at the GGA-PBE level of DFT.

## Properties
For the calculated volume, the calculation gives 29.6 Å³/f.u. The calculation puts the formation energy at 0.372 eV/atom. The space group is Imma (74).

```
BeAs
1.0
-2.963 -4.907 -1.180
1.610 -5.620 -0.267
0.415 4.977 3.050
As Be
2 2
direct
0.009 0.009 0.000
0.741 0.241 0.500
0.309 0.809 0.500
0.441 0.441 0.000
```


# 3
Computed, not measured: an optimized crystal structure of BeAs2 at the GGA-PBE level of DFT.

## Properties
For the calculated volume, the calculation gives 51.8 Å³/f.u. The calculation puts the formation energy at 0.133 eV/atom. The space group is Pnnm (58).

```
BeAs2
1.0
3.703 0.000 0.000
0.000 4.326 0.000
0.000 0.000 6.467
As Be
4 2
direct
0.000 0.225 0.622
0.500 0.725 0.878
0.500 0.275 0.122
0.000 0.775 0.378
0.000 0.000 0.000
0.500 0.500 0.500
```


# 4
Computed, not measured: an optimized crystal structure of BeAs at the GGA-PBE level of DFT.

## Properties
For the calculated volume, the calculation gives 35.4 Å³/f.u. The calculation puts the formation energy at 0.438 eV/atom. The space group is R-3m (166).

```
BeAs
1.0
-3.072 -8.914 3.259
-0.382 -9.000 4.286
-2.466 -7.724 5.812
As Be
2 2
direct
0.785 0.785 0.785
0.965 0.965 0.965
0.240 0.240 0.240
0.510 0.510 0.510
```


# 5
Computed, not measured: an optimized crystal structure of Be3As at the GGA-PBE level of DFT.

## Properties
For the calculated volume, the calculation gives 47.3 Å³/f.u. The calculation puts the formation energy at 0.510 eV/atom. The space group is R-3m (166).

```
Be3As
1.0
-3.576 -1.943 6.033
-4.255 -4.021 4.323
-1.858 -4.099 5.719
As Be
1 3
direct
0.000 0.000 0.000
0.243 0.243 0.243
0.500 0.500 0.500
0.757 0.757 0.757
```


# 6
Computed, not measured: an optimized crystal structure of BeAs at the GGA-PBE level of DFT.

## Properties
For the calculated volume, the calculation gives 32.9 Å³/f.u. The calculation puts the formation energy at 0.207 eV/atom. The space group is Cm (8).

```
BeAs
1.0
1.360 6.201 -0.074
-1.360 6.201 -0.074
0.000 3.128 5.823
Be As
3 3
direct
0.599 0.599 0.099
0.746 0.746 0.494
0.063 0.063 0.499
0.086 0.086 0.814
0.426 0.426 0.432
0.247 0.247 0.162
```


# 7
Computed, not measured: an optimized crystal structure of BeAs2 at the GGA-PBE level of DFT.

## Properties
For the calculated volume, the calculation gives 54.4 Å³/f.u. The calculation puts the formation energy at 0.318 eV/atom. The space group is P-3m1 (164).

```
BeAs2
1.0
2.892 0.000 0.000
-1.446 2.504 0.000
0.000 0.000 7.512
As Be
2 1
direct
0.333 0.667 0.249
0.667 0.333 0.751
0.000 0.000 0.000
```


# 8
Computed, not measured: an optimized crystal structure of Be8As at the GGA-PBE level of DFT.

## Properties
For the calculated volume, the calculation gives 86.1 Å³/f.u. The calculation puts the formation energy at 0.304 eV/atom. The space group is I4/mmm (139).

```
Be8As
1.0
-3.602 3.602 1.659
3.602 -3.602 1.659
3.602 3.602 -1.659
Be As
8 1
direct
0.322 0.322 0.645
0.000 0.348 0.348
0.348 0.000 0.348
0.652 0.000 0.652
0.322 0.678 0.000
0.678 0.678 0.355
0.000 0.652 0.652
0.678 0.322 0.000
0.000 0.000 0.000
```


# 9
Computed, not measured: an optimized crystal structure of Be4As5 at the GGA-PBE level of DFT.

## Properties
For the calculated volume, the calculation gives 138.5 Å³/f.u. The calculation puts the formation energy at 0.553 eV/atom. The space group is I4/mmm (139).

```
Be4As5
1.0
3.694 1.576 4.824
-5.892 0.203 -2.156
-0.027 -6.152 1.246
As Be
5 4
direct
0.323 0.677 0.000
0.677 0.677 0.354
0.323 0.323 0.646
0.000 0.000 0.000
0.677 0.323 0.000
0.000 0.622 0.622
0.622 0.000 0.622
0.378 0.000 0.378
0.000 0.378 0.378
```


# 10
Computed, not measured: an optimized crystal structure of Be2As at the GGA-PBE level of DFT.

## Properties
For the calculated volume, the calculation gives 40.8 Å³/f.u. The calculation puts the formation energy at 0.161 eV/atom. The space group is Pnma (62).

```
Be2As
1.0
-0.955 0.868 -3.472
-6.030 -4.010 0.656
-3.005 4.852 2.039
Be As
8 4
direct
0.250 0.161 0.723
0.250 0.661 0.777
0.750 0.339 0.223
0.250 0.501 0.107
0.250 0.001 0.393
0.750 0.839 0.277
0.750 0.999 0.607
0.750 0.499 0.893
0.250 0.686 0.407
0.250 0.186 0.093
0.750 0.314 0.593
0.750 0.814 0.907
```


# 11
Computed, not measured: an optimized crystal structure of BeAs at the GGA-PBE level of DFT.

## Properties
For the calculated volume, the calculation gives 39.8 Å³/f.u. The calculation puts the formation energy at 0.086 eV/atom. The space group is Fddd (70).

```
BeAs
1.0
7.882 0.000 0.000
0.000 11.562 0.000
0.000 0.000 6.988
Be As
16 16
direct
0.000 0.665 0.000
0.750 0.415 0.750
0.750 0.915 0.250
0.000 0.165 0.500
0.750 0.585 0.250
0.500 0.665 0.500
0.250 0.415 0.250
0.500 0.335 0.500
0.000 0.835 0.500
0.500 0.835 0.000
0.750 0.085 0.750
0.250 0.585 0.750
0.250 0.085 0.250
0.500 0.165 0.000
0.000 0.335 0.000
0.250 0.915 0.750
0.000 0.500 0.182
0.500 0.000 0.182
0.250 0.250 0.068
0.000 0.500 0.818
0.250 0.750 0.932
0.500 0.000 0.818
0.000 0.000 0.318
0.000 0.000 0.682
0.250 0.750 0.568
0.750 0.750 0.068
0.250 0.250 0.432
0.750 0.250 0.932
0.500 0.500 0.682
0.750 0.750 0.432
0.750 0.250 0.568
0.500 0.500 0.318
```


# 12
Computed, not measured: an optimized crystal structure of BeAs at the GGA-PBE level of DFT.

## Properties
For the calculated volume, the calculation gives 36.6 Å³/f.u. The calculation puts the formation energy at 0.082 eV/atom. The space group is Cmcm (63).

```
BeAs
1.0
7.830 -0.060 0.000
-7.012 3.484 0.000
0.000 0.000 2.726
As Be
2 2
direct
0.363 0.637 0.250
0.637 0.363 0.750
0.210 0.790 0.250
0.790 0.210 0.750
```


# 13
Computed, not measured: an optimized crystal structure of BeAs at the GGA-PBE level of DFT.

## Properties
For the calculated volume, the calculation gives 33.2 Å³/f.u. The calculation puts the formation energy at 0.078 eV/atom. The space group is P6_3mc (186).

```
BeAs
1.0
3.367 0.000 0.000
-1.684 2.916 0.000
0.000 0.000 6.752
As Be
2 2
direct
0.667 0.333 0.522
0.333 0.667 0.022
0.333 0.667 0.349
0.667 0.333 0.849
```


# 14
Computed, not measured: an optimized crystal structure of BeAs at the GGA-PBE level of DFT.

## Properties
For the calculated volume, the calculation gives 30.6 Å³/f.u. The calculation puts the formation energy at 0.255 eV/atom. The space group is P-6m2 (187).

```
BeAs
1.0
3.580 0.000 0.000
-1.790 3.101 0.000
0.000 0.000 2.755
As Be
1 1
direct
0.000 0.000 0.000
0.667 0.333 0.500
```


# 15
Computed, not measured: an optimized crystal structure of Be2As at the GGA-PBE level of DFT.

## Properties
For the calculated volume, the calculation gives 39.2 Å³/f.u. The calculation puts the formation energy at 0.254 eV/atom. The space group is C2/m (12).

```
Be2As
1.0
1.317 5.597 -0.016
-1.317 5.597 -0.016
0.000 1.461 5.318
Be As
4 2
direct
0.946 0.946 0.383
0.631 0.631 0.261
0.369 0.369 0.739
0.054 0.054 0.617
0.335 0.335 0.171
0.665 0.665 0.829
```


# 16
Computed, not measured: an optimized crystal structure of BeAs3 at the GGA-PBE level of DFT.

## Properties
For the calculated volume, the calculation gives 92.4 Å³/f.u. The calculation puts the formation energy at 0.249 eV/atom. The space group is Pmm2 (25).

```
BeAs3
1.0
-1.084 -1.647 -3.136
-2.668 -2.640 2.309
-4.187 3.768 -0.531
As Be
3 1
direct
0.500 0.000 0.449
0.500 0.500 0.663
0.000 0.000 0.155
0.000 0.500 0.400
```


# 17
Computed, not measured: an optimized crystal structure of BeAs at the GGA-PBE level of DFT.

## Properties
For the calculated volume, the calculation gives 32.3 Å³/f.u. The calculation puts the formation energy at 0.484 eV/atom. The space group is R-3m (166).

```
BeAs
1.0
4.335 -0.016 -0.012
1.809 3.939 -0.012
1.809 1.155 3.766
As Be
2 2
direct
0.680 0.680 0.680
0.320 0.320 0.320
0.898 0.898 0.898
0.102 0.102 0.102
```


# 18
Computed, not measured: an optimized crystal structure of Be3As at the GGA-PBE level of DFT.

## Properties
For the calculated volume, the calculation gives 45.7 Å³/f.u. The calculation puts the formation energy at 0.379 eV/atom. The space group is P4/mmm (123).

```
Be3As
1.0
3.232 0.000 0.000
0.000 3.232 0.000
0.000 0.000 4.377
Be As
3 1
direct
0.500 0.500 0.252
0.000 0.000 0.500
0.500 0.500 0.748
0.000 0.000 0.000
```


# 19
Computed, not measured: an optimized crystal structure of BeAs2 at the GGA-PBE level of DFT.

## Properties
For the calculated volume, the calculation gives 51.8 Å³/f.u. The calculation puts the formation energy at 0.344 eV/atom. The space group is P4/mmm (123).

```
BeAs2
1.0
-2.939 2.436 0.587
-0.857 -0.127 -3.764
-2.116 -2.691 0.573
As Be
2 1
direct
0.000 0.500 0.500
0.500 0.000 0.500
0.000 0.000 0.000
```


# 20
Computed, not measured: an optimized crystal structure of Be4As3 at the GGA-PBE level of DFT.

## Properties
For the calculated volume, the calculation gives 101.1 Å³/f.u. The calculation puts the formation energy at 0.122 eV/atom. The space group is C2/m (12).

```
Be4As3
1.0
3.408 0.000 -0.851
-0.580 5.296 -2.323
-0.321 -0.606 5.963
As Be
3 4
direct
0.655 0.664 0.311
0.000 0.000 0.000
0.345 0.336 0.689
0.668 0.064 0.335
0.332 0.936 0.665
0.833 0.568 0.667
0.167 0.432 0.333
```


# 21
Computed, not measured: an optimized crystal structure of BeAs at the GGA-PBE level of DFT.

## Properties
For the calculated volume, the calculation gives 35.1 Å³/f.u. The calculation puts the formation energy at 0.003 eV/atom. The space group is P4_2/mnm (136).

```
BeAs
1.0
5.943 0.000 0.000
0.000 5.943 0.000
0.000 0.000 3.978
Be As
4 4
direct
0.231 0.769 0.000
0.731 0.731 0.500
0.269 0.269 0.500
0.769 0.231 0.000
0.348 0.652 0.500
0.848 0.848 0.000
0.152 0.152 0.000
0.652 0.348 0.500
```


# 22
Computed, not measured: an optimized crystal structure of Be7As at the GGA-PBE level of DFT.

## Properties
For the calculated volume, the calculation gives 78.1 Å³/f.u. The calculation puts the formation energy at 0.318 eV/atom. The space group is Fm-3m (225).

```
Be7As
1.0
0.000 3.393 3.393
3.393 0.000 3.393
3.393 3.393 0.000
Be As
7 1
direct
0.500 0.500 0.500
0.000 0.500 0.000
0.000 0.000 0.500
0.500 0.000 0.500
0.500 0.500 0.000
0.500 0.000 0.000
0.000 0.500 0.500
0.000 0.000 0.000
```


# 23
Computed, not measured: an optimized crystal structure of Be3As at the GGA-PBE level of DFT.

## Properties
For the calculated volume, the calculation gives 45.8 Å³/f.u. The calculation puts the formation energy at 0.332 eV/atom. The space group is C2/m (12).

```
Be3As
1.0
3.908 0.028 0.032
2.977 2.531 0.032
0.950 0.353 4.680
As Be
1 3
direct
0.000 0.000 0.000
0.755 0.755 0.679
0.245 0.245 0.321
0.500 0.500 0.500
```


# 24
Computed, not measured: an optimized crystal structure of BeAs at the GGA-PBE level of DFT.

## Properties
For the calculated volume, the calculation gives 32.8 Å³/f.u. The calculation puts the formation energy at 0.136 eV/atom. The space group is Cm (8).

```
BeAs
1.0
1.819 5.312 -0.099
-1.819 5.312 -0.099
0.000 1.574 5.059
As Be
3 3
direct
0.342 0.342 0.610
0.667 0.667 0.245
0.517 0.517 0.870
0.144 0.144 0.928
0.308 0.308 0.148
0.854 0.854 0.366
```


# 25
Computed, not measured: an optimized crystal structure of BeAs2 at the GGA-PBE level of DFT.

## Properties
For the calculated volume, the calculation gives 64.8 Å³/f.u. The calculation puts the formation energy at 0.764 eV/atom. The space group is P6_3/mmc (194).

```
BeAs2
1.0
-4.929 -1.643 0.277
3.618 -2.093 3.099
-2.128 7.676 7.670
As Be
8 4
direct
0.842 0.158 0.250
0.158 0.315 0.750
0.158 0.842 0.750
0.685 0.842 0.750
0.000 0.000 0.500
0.842 0.685 0.250
0.315 0.158 0.250
0.000 0.000 0.000
0.667 0.333 0.089
0.333 0.667 0.589
0.667 0.333 0.411
0.333 0.667 0.911
```


# 26
Computed, not measured: an optimized crystal structure of Be2As at the GGA-PBE level of DFT.

## Properties
For the calculated volume, the calculation gives 45.9 Å³/f.u. The calculation puts the formation energy at 0.521 eV/atom. The space group is Pnnm (58).

```
Be2As
1.0
-1.958 3.975 -1.217
0.569 -1.043 -4.319
-3.993 -1.981 -0.048
Be As
4 2
direct
0.500 0.339 0.662
0.000 0.161 0.162
0.500 0.661 0.338
0.000 0.839 0.838
0.000 0.500 0.500
0.500 0.000 0.000
```